# Pm4Fe

An optimized crystal structure of Pm4Fe (PBE-GGA, Alexandria).

```
Pm4Fe
1.0
5.393 0.000 0.000
0.000 5.393 0.000
0.000 0.000 5.393
Pm Fe
4 1
direct
0.000 0.000 0.000
0.000 0.500 0.500
0.500 0.000 0.500
0.500 0.500 0.000
0.500 0.500 0.500
```

Summary:
Calculated volume (Å³ per atom): 31.372
Uncorrected energy (eV/atom): -5.30

=====

# PmFe6

An optimized crystal structure of PmFe6 (PBE-GGA, Alexandria).

```
PmFe6
1.0
7.968 0.000 0.000
0.000 4.913 0.000
0.000 0.000 10.182
Pm Fe
4 24
direct
0.240 0.250 0.062
0.260 0.750 0.562
0.740 0.250 0.438
0.760 0.750 0.938
0.051 0.750 0.098
0.064 0.006 0.308
0.064 0.494 0.308
0.095 0.250 0.515
0.148 0.750 0.858
0.190 0.250 0.752
0.310 0.750 0.252
0.352 0.250 0.358
0.405 0.750 0.015
0.436 0.506 0.808
0.436 0.994 0.808
0.449 0.250 0.598
0.551 0.750 0.402
0.564 0.006 0.192
0.564 0.494 0.192
0.595 0.250 0.985
0.648 0.750 0.642
0.690 0.250 0.748
0.810 0.750 0.248
0.852 0.250 0.142
0.905 0.750 0.485
0.936 0.506 0.692
0.936 0.994 0.692
0.949 0.250 0.902
```

Summary:
Calculated volume (Å³ per atom): 14.236
Energy above the lowest structure with this stoichiometry (eV/atom): 0.000
Uncorrected energy (eV/atom): -7.83

=====

# PmFe5

An optimized crystal structure of PmFe5 (PBE-GGA, Alexandria).

```
PmFe5
1.0
2.102 -4.971 0.000
2.102 4.971 0.000
0.000 0.000 4.129
Pm Fe
1 5
direct
0.000 0.000 0.000
0.191 0.809 0.500
0.318 0.682 0.000
0.500 0.500 0.500
0.682 0.318 0.000
0.809 0.191 0.500
```

Summary:
Calculated volume (Å³ per atom): 14.381
Uncorrected energy (eV/atom): -7.57

=====

# PmFe6

An optimized crystal structure of PmFe6 (PBE-GGA, Alexandria).

```
PmFe6
1.0
-3.018 3.018 3.018
3.018 -3.018 3.018
3.018 3.018 -3.018
Pm Fe
1 6
direct
0.000 0.000 0.000
0.250 0.500 0.750
0.250 0.750 0.500
0.500 0.250 0.750
0.500 0.750 0.250
0.750 0.250 0.500
0.750 0.500 0.250
```

Summary:
Calculated volume (Å³ per atom): 15.706
Energy above the lowest structure with this stoichiometry (eV/atom): 0.463
Uncorrected energy (eV/atom): -7.37

=====

Looking at energy of formation for the records above, in order, we have 190, 100, 278, 563 meV/atom.